Version w
Entry from the Alexandria database: a relaxed RbHf crystal (PBE).

The structure in POSCAR format:
```
RbHf
1.0
3.255 0.000 0.000
-1.627 2.819 0.000
0.000 0.000 13.824
Rb Hf
2 2
Cartesian
0.000 1.879 0.000
1.627 0.940 6.912
0.000 1.879 3.437
1.627 0.940 10.349
```

Calculated values
total moment	0.48	μB per formula unit
crystal system	hexagonal

---

Version x
Entry from the Alexandria database: a relaxed RbHf crystal (PBE).

The structure in POSCAR format:
```
RbHf
1.0
8.751 0.000 0.000
0.000 4.949 0.000
0.000 0.000 17.781
Rb Hf
8 8
Cartesian
1.155 1.237 4.333
1.180 1.237 16.506
3.196 3.711 7.615
3.220 3.711 13.223
5.531 1.237 4.558
5.555 1.237 10.166
7.571 3.711 1.275
7.595 3.711 13.448
0.121 3.711 9.527
1.034 1.237 10.762
3.342 3.711 1.872
4.254 1.237 0.637
4.497 3.711 17.144
5.409 1.237 15.909
7.717 3.711 7.019
8.629 1.237 8.254
```

Calculated values
total moment	0.00	μB per formula unit
crystal system	orthorhombic

---

Version y
Entry from the Alexandria database: a relaxed RbHf crystal (PBE).

The structure in POSCAR format:
```
RbHf
1.0
10.665 0.000 0.000
0.000 10.665 0.000
0.000 0.000 10.665
Rb Hf
6 6
Cartesian
0.000 2.666 5.333
0.000 7.999 5.333
2.666 5.333 0.000
5.333 0.000 2.666
5.333 0.000 7.999
7.999 5.333 0.000
0.000 5.333 2.666
0.000 5.333 7.999
2.666 0.000 5.333
5.333 2.666 0.000
5.333 7.999 0.000
7.999 0.000 5.333
```

Calculated values
total moment	3.00	μB per formula unit
crystal system	cubic

---

Version z
Entry from the Alexandria database: a relaxed RbHf crystal (PBE).

The structure in POSCAR format:
```
RbHf
1.0
3.333 0.000 0.000
0.000 3.386 0.000
0.000 0.000 13.496
Rb Hf
2 2
Cartesian
0.833 0.847 2.244
2.500 2.540 11.252
0.833 2.540 5.815
2.500 0.847 7.681
```

Calculated values
total moment	0.23	μB per formula unit
crystal system	orthorhombic

---

What should be chosen as the most stable of them? Choose version z.